Entry 1:
This record from the Alexandria database describes an optimized crystal structure of RbBaHfO4. The functional is PBE-GGA.

Structure (extended XYZ):
```
14
Lattice="-3.093 -2.957 4.108 4.966 -2.853 1.685 2.872 6.521 2.574" Properties=species:S:1:pos:R:3 pbc="T T T"
O 3.974 -1.192 2.134
O 2.373 0.355 4.184
Ba 3.224 0.359 6.969
O 3.919 1.834 2.130
O 4.763 1.810 4.890
Ba 1.521 0.351 1.398
O 1.436 3.260 1.287
O 0.772 1.903 6.233
Hf 0.378 0.407 4.861
O -0.018 -1.099 3.478
O -0.110 1.782 3.341
Rb 2.316 3.375 4.174
Hf 4.367 0.304 3.507
Rb 2.429 -2.664 4.194
```

Total DFT energy (no corrections) = -7.2237 eV/atom
SG = Cmcm (63)
DOS(E_F) = 7.943 states/eV/cell
Formation energy from raw total energies = -17.9 eV/f.u.

---

Entry 2:
This record from the Alexandria database describes an optimized crystal structure of CsLa3Ti. The functional is PBE-GGA.

Structure (extended XYZ):
```
5
Lattice="-0.283 5.775 -1.077 -5.730 -0.034 1.325 1.295 1.113 5.628" Properties=species:S:1:pos:R:3 pbc="T T T"
Ti 0.000 0.000 0.000
La 0.647 0.557 2.814
La -0.142 2.887 -0.539
Cs -2.359 3.427 2.938
La -2.865 -0.017 0.663
```

Total DFT energy (no corrections) = -4.1668 eV/atom
SG = Pm-3m (221)
E above lowest polymorph = 0.0 meV/atom
DOS(E_F) = 7.074 states/eV/cell
Energy of formation = 0.539 eV/atom

---

Entry 3:
This record from the Alexandria database describes an optimized crystal structure of Be2TlBr. The functional is PBE-GGA.

Structure (extended XYZ):
```
4
Lattice="-2.100 2.817 1.028 0.096 -3.313 1.554 5.476 2.366 4.703" Properties=species:S:1:pos:R:3 pbc="T T T"
Be 0.040 0.017 0.034
Tl 3.105 1.527 4.819
Be 2.698 1.166 2.317
Br 0.367 0.343 2.467
```

Total DFT energy (no corrections) = -2.2345 eV/atom
SG = Cmmm (65)
E above lowest polymorph = 308.8 meV/atom
DOS(E_F) = 1.240 states/eV/cell
Formation energy from raw total energies = 2.6 eV/f.u.

---

Entry 4:
This record from the Alexandria database describes an optimized crystal structure of BaTm2PdSe4. The functional is PBE-GGA.

Structure (extended XYZ):
```
16
Lattice="4.155 0.000 0.000 -2.077 6.956 0.000 0.000 0.000 14.320" Properties=species:S:1:pos:R:3 pbc="T T T"
Se 2.077 3.227 8.664
Tm 2.077 1.834 1.047
Tm 0.000 5.122 13.273
Tm 0.000 5.122 8.207
Se 0.000 3.729 5.656
Se 0.000 6.281 10.740
Tm 2.077 1.834 6.113
Se 0.000 0.000 7.160
Se 2.077 0.674 3.580
Se 0.000 3.729 1.504
Pd 0.000 2.173 3.580
Pd 2.077 4.782 10.740
Se 0.000 0.000 0.000
Se 2.077 3.227 12.816
Ba 0.000 1.689 10.740
Ba 2.077 5.266 3.580
```

Total DFT energy (no corrections) = -5.4223 eV/atom
SG = Cmcm (63)
Formation energy from raw total energies = -13.4 eV/f.u.

---

Entry 5:
This record from the Alexandria database describes an optimized crystal structure of LiC3F. The functional is PBE-GGA.

Structure (extended XYZ):
```
5
Lattice="-0.070 0.269 -3.805 2.661 -2.723 -0.242 -2.733 -2.658 -0.138" Properties=species:S:1:pos:R:3 pbc="T T T"
F 0.000 0.000 0.000
Li -0.071 -2.556 -2.092
C -0.035 0.135 -1.902
C -1.367 -1.329 -0.069
C 1.331 -1.362 -0.121
```

Total DFT energy (no corrections) = -3.2933 eV/atom
SG = Pm-3m (221)
E above lowest polymorph = 0.0 meV/atom
DOS(E_F) = 0.689 states/eV/cell
Formation energy from raw total energies = 15.0 eV/f.u.

---

Entry 6:
This record from the Alexandria database describes an optimized crystal structure of FeReAs. The functional is PBE-GGA.

Structure (extended XYZ):
```
6
Lattice="-2.796 0.357 -0.812 1.828 -1.560 -1.681 -2.849 -9.440 5.661" Properties=species:S:1:pos:R:3 pbc="T T T"
Re -1.185 -5.489 1.669
Fe -3.220 -6.487 2.940
Fe -2.232 -3.213 0.977
As -2.124 -8.598 3.538
Re -1.303 -0.127 -0.867
As -0.247 -2.375 -0.194
```

Total DFT energy (no corrections) = -8.2188 eV/atom
SG = Amm2 (38)
E above lowest polymorph = 45.6 meV/atom
DOS(E_F) = 6.497 states/eV/cell
Energy of formation = 0.301 eV/atom

---

Entry 7:
This record from the Alexandria database describes an optimized crystal structure of TiGa2Pt. The functional is PBE-GGA.

Structure (extended XYZ):
```
8
Lattice="-4.076 -4.579 -3.639 -3.138 -2.031 6.070 -5.487 -1.373 0.890" Properties=species:S:1:pos:R:3 pbc="T T T"
Ga -10.492 -6.856 2.920
Ga -6.755 -3.467 1.454
Pt -6.585 -4.629 -0.767
Ga -3.758 -2.091 3.637
Ti -3.607 -3.305 1.215
Ti -6.116 -3.355 4.088
Pt 0.000 0.000 0.000
Ga -4.396 -3.554 -1.368
```

Total DFT energy (no corrections) = -5.3417 eV/atom
SG = I-42d (122)
DOS(E_F) = 4.219 states/eV/cell
Energy of formation = -0.344 eV/atom

---

Entry 8:
This record from the Alexandria database describes an optimized crystal structure of Sr4SmPa3N8. The functional is PBE-GGA.

Structure (extended XYZ):
```
16
Lattice="-5.687 0.632 4.441 4.252 -1.764 5.695 1.873 5.524 -4.294" Properties=species:S:1:pos:R:3 pbc="T T T"
Pa 0.219 2.196 2.921
Pa 3.063 1.880 0.701
Sr 0.937 2.762 -2.147
N 0.770 2.592 0.617
Sm 2.126 -0.882 2.848
N 0.705 4.495 3.035
Pa -0.718 -0.566 5.068
Sr 0.000 0.000 0.000
N -0.332 1.801 5.226
N -0.267 -0.103 2.807
Sr -2.844 0.316 2.221
N -2.936 0.194 4.891
Sr -1.907 3.078 0.074
N 2.495 1.605 2.966
N -2.057 2.788 2.876
N 3.374 4.199 0.951
```

Total DFT energy (no corrections) = -8.0079 eV/atom
SG = R-3m (166)
DOS(E_F) = 8.064 states/eV/cell
Formation energy from raw total energies = -21.6 eV/f.u.

---

| no. | M_tot (μB/f.u.) |
| --- | --- |
| 1 | 1.03 |
| 2 | 0.00 |
| 3 | 0.00 |
| 4 | 0.00 |
| 5 | 0.00 |
| 6 | 1.64 |
| 7 | 0.00 |
| 8 | 0.00 |